## FeCuF2 (GGA+U)

Data for a relaxed structure of FeCuF2.

## Properties
calculated total energy	-4.2163	eV/atom
energy relative to the lowest polymorph listed for this composition	26.34	kJ/mol of atoms

a = 5.6214 Å, b = 5.6214 Å, c = 5.6214 Å
α = 90.00°, β = 90.00°, γ = 90.00°
Last column: nearest neighbours and their distance in Å.
Fractional coordinates of all 16 atoms:
Fe (0.0000, 0.0000, 0.0000)  8 F 2.43
Fe (0.0000, 0.5000, 0.5000)  8 F 2.43
Fe (0.5000, 0.0000, 0.5000)  8 F 2.43
Fe (0.5000, 0.5000, 0.0000)  8 F 2.43
Cu (0.0000, 0.0000, 0.5000)  8 F 2.43
Cu (0.0000, 0.5000, 0.0000)  8 F 2.43
Cu (0.5000, 0.0000, 0.0000)  8 F 2.43
Cu (0.5000, 0.5000, 0.5000)  8 F 2.43
F (0.2500, 0.2500, 0.2500)  4 Fe 2.43, 4 Cu 2.43
F (0.2500, 0.2500, 0.7500)  4 Fe 2.43, 4 Cu 2.43
F (0.2500, 0.7500, 0.2500)  4 Fe 2.43, 4 Cu 2.43
F (0.2500, 0.7500, 0.7500)  4 Fe 2.43, 4 Cu 2.43
F (0.7500, 0.2500, 0.2500)  4 Fe 2.43, 4 Cu 2.43
F (0.7500, 0.2500, 0.7500)  4 Fe 2.43, 4 Cu 2.43
F (0.7500, 0.7500, 0.2500)  4 Fe 2.43, 4 Cu 2.43
F (0.7500, 0.7500, 0.7500)  4 Cu 2.43, 4 Fe 2.43